[1]
Material: Cs2TbH4
Method: DFT, GGA-PBE
State: relaxed

Cell lengths 4.4687, 4.4687, 15.9558 Å; angles 90.00, 90.00, 90.00 degrees
Last column: nearest neighbours and their distance in Å.
Space group I4/mmm (No. 139)
One atom of each set of equivalent atoms:
Cs (0.0000, 0.0000, 0.1560) x4  9 H 3.17-3.34
Tb (0.0000, 0.0000, 0.5000) x2  6 H 2.23-2.25
H (0.0000, 0.0000, 0.3592) x4  1 Tb 2.25
H (0.0000, 0.5000, 0.0000) x4  2 Tb 2.23

## Properties
- DOS at the Fermi energy (states/eV/f.u.) = 2.86

***

[2]
Material: Mg5Si6
Method: DFT, GGA-PBE
State: relaxed

Cell lengths 28.9247, 4.1269, 6.8552 Å; angles 90.00, 93.46, 90.00 degrees
Last column: nearest neighbours and their distance in Å.
Space group C2/m (No. 12)
One atom of each set of equivalent atoms:
Mg (0.0432, 0.0000, 0.3079) x4  8 Si 2.89-3.18
Mg (0.0847, 0.0000, 0.8192) x4  8 Si 2.80-2.99
Mg (0.1311, 0.5000, 0.1611) x4  4 Si 2.64-2.78
Mg (0.1670, 0.0000, 0.4861) x4  8 Si 2.86-2.99, 2 Mg 3.17
Mg (0.2040, 0.0000, 0.9918) x4  8 Si 2.84-3.16
Si (0.0257, 0.5000, 0.6492) x4  3 Si 2.37-2.49
Si (0.0403, 0.5000, 0.0114) x4  2 Si 2.33-2.49
Si (0.0993, 0.5000, 0.5138) x4  2 Si 2.37-2.38, 1 Mg 2.64
Si (0.1531, 0.5000, 0.7898) x4  2 Si 2.38-2.39, 1 Mg 2.66
Si (0.2239, 0.5000, 0.2938) x4  3 Si 2.49-2.54, 1 Mg 2.78
Si (0.2284, 0.5000, 0.6654) x4  4 Si 2.39-2.54

## Properties
- energy relative to the elements, uncorrected (eV per atom) = 0.042
- E above lowest polymorph (kJ/mol of formula units) = 18
- DOS at the Fermi energy (states/eV/f.u.) = 4.07

***

[3]
Material: K2ScB
Method: DFT, GGA-PBE
State: relaxed

Cell lengths 12.1805, 12.1805, 4.5852 Å; angles 90.00, 90.00, 90.00 degrees
Last column: nearest neighbours and their distance in Å.
Space group I-42d (No. 122)
One atom of each set of equivalent atoms:
K (0.0813, 0.7500, 0.1250) x8  2 B 3.25, 2 Sc 3.63
Sc (0.0000, 0.0000, 0.5000) x4  2 B 2.29
B (0.0000, 0.0000, 0.0000) x4  2 Sc 2.29

## Properties
- calculated formation energy (meV per atom) = 823
- DOS at the Fermi energy (states/eV/f.u.) = 5.58

***

no.,E_tot (eV/atom)
1,-3.050
2,-3.641
3,-2.978